# 1
Below is a geometry-optimized KHg2Bi structure, with properties calculated at the GGA-PBE level.

Cell and atoms, written as POSCAR:
```
KHg2Bi
1.0
-0.5486 3.1503 -3.8931
-4.5124 -3.4424 -2.1498
-1.2877 4.5204 3.8394
Hg Bi K
2 1 1
Direct
0.5000 0.5537 0.9464
0.5000 0.0536 0.4463
0.5000 0.5536 0.4464
0.0000 0.0542 0.9458
```

Properties
Space-group type: Amm2, No. 38
Energy of formation from the pure elements: -0.51 eV/f.u.
DOS at the Fermi energy: 0.278 states/eV per atom

---

# 2
Below is a geometry-optimized K3Hg6Bi structure, with properties calculated at the GGA-PBE level.

Cell and atoms, written as POSCAR:
```
K3Hg6Bi
1.0
6.4881 0.0000 -1.7217
-3.1464 6.6425 -3.1329
-0.1954 0.0000 7.9875
Hg K Bi
6 3 1
Direct
0.8686 0.7055 0.0000
0.7640 0.2957 0.0000
0.8686 0.0000 0.7055
0.1630 0.2945 0.2945
0.7640 0.0000 0.2957
0.4683 0.7043 0.7043
0.3161 0.5004 0.0000
0.3161 0.0000 0.5004
0.8157 0.4996 0.4996
0.3168 0.0000 0.0000
```

Properties
Space-group type: R3m, No. 160
Energy of formation from the pure elements: -2.64 eV/f.u.
DOS at the Fermi energy: 0.324 states/eV per atom

---

# 3
Below is a geometry-optimized K8Hg3Bi2 structure, with properties calculated at the GGA-PBE level.

Cell and atoms, written as POSCAR:
```
K8Hg3Bi2
1.0
5.8413 0.0514 -0.1479
-0.1824 8.8382 -4.1378
0.2361 0.0062 11.5149
Hg K Bi
3 8 2
Direct
0.5000 0.0000 0.0000
0.0000 0.1702 0.0000
0.0000 0.8298 0.0000
0.2497 0.5615 0.1229
0.2504 0.1167 0.6518
0.7496 0.8833 0.3482
0.2504 0.5351 0.6518
0.7503 0.4385 0.8771
0.7496 0.4649 0.3482
0.2436 0.1632 0.3263
0.7564 0.8368 0.6737
0.7485 0.2765 0.5531
0.2515 0.7235 0.4469
```

Properties
Space-group type: C2/m, No. 12
Energy of formation from the pure elements: -3.26 eV/f.u.
DOS at the Fermi energy: 0.659 states/eV per atom

---

Which of these has the highest DOS at the Fermi energy?
K8Hg3Bi2

---

Number 1 is which compound?
KHg2Bi

---

What is the energy of formation from the pure elements in the first record?
-0.51 eV/f.u.

---

The highest energy of formation from the pure elements belongs to which entry?
KHg2Bi